1.
# Nd2TmZn3Ir2Pt (PBE-GGA, relaxed)
data_Nd2TmZn3Ir2Pt
_chemical_formula_sum 'Nd2 Tm1 Zn3 Ir2 Pt1'
_space_group_name_H-M_alt 'P 1'
_space_group_IT_number 1
_space_group_name_Hall 'P 1'
_cell_length_a 3.964
_cell_length_b 7.234
_cell_length_c 7.234
_cell_angle_alpha 119.51
_cell_angle_beta 90.00
_cell_angle_gamma 90.00
loop_
_atom_site_label
_atom_site_fract_x
_atom_site_fract_y
_atom_site_fract_z
_atom_site_occupancy
Nd1 0.000 0.207 0.793 1
Nd2 0.000 0.793 0.207 1
Tm1 0.000 0.612 0.612 1
Zn1 0.500 0.211 0.456 1
Zn2 0.500 0.456 0.211 1
Zn3 0.500 0.956 0.956 1
Ir1 0.500 0.545 0.862 1
Ir2 0.500 0.862 0.545 1
Pt1 0.000 0.215 0.215 1
# Density   11.341 g/cm3
# Volume   180.6 Å³/f.u.
# Crystal system   orthorhombic
# SG   Amm2 (38)
# DFT formation energy   -0.733 eV/atom

2.
# Ta5Nb2Co6 (PBE-GGA, relaxed)
data_Ta5Nb2Co6
_chemical_formula_sum 'Ta5 Nb2 Co6'
_space_group_name_H-M_alt 'P 1'
_space_group_IT_number 1
_space_group_name_Hall 'P 1'
_cell_length_a 9.191
_cell_length_b 9.191
_cell_length_c 9.191
_cell_angle_alpha 31.23
_cell_angle_beta 31.23
_cell_angle_gamma 31.23
loop_
_atom_site_label
_atom_site_fract_x
_atom_site_fract_y
_atom_site_fract_z
_atom_site_occupancy
Ta1 0.000 0.000 0.000 1
Ta2 0.346 0.346 0.346 1
Ta3 0.450 0.450 0.450 1
Ta4 0.550 0.550 0.550 1
Ta5 0.654 0.654 0.654 1
Nb1 0.166 0.166 0.166 1
Nb2 0.834 0.834 0.834 1
Co1 0.093 0.093 0.581 1
Co2 0.093 0.581 0.093 1
Co3 0.419 0.907 0.907 1
Co4 0.581 0.093 0.093 1
Co5 0.907 0.419 0.907 1
Co6 0.907 0.907 0.419 1
# Polymorph energy (0 for the lowest one)   0.019 eV/atom
# Density   12.946 g/cm3
# Volume   185.2 Å³/f.u.
# Crystal system   trigonal
# SG   R-3m (166)
# DFT formation energy   -0.226 eV/atom